Density functional theory data (PBE) for K2GaH6Au after structural relaxation.

abc: 7.3528 7.9583 10.0473
angles: 90.00 90.00 90.00
Space group Fmm2 (No. 42)
Unique sites:
K 0.2500 0.2500 0.0000
Ga 0.0000 0.0000 0.2555
H 0.0000 0.0000 0.0950
H 0.0000 0.0000 0.5539
H 0.0000 0.1866 0.3105
H 0.2214 0.0000 0.7912
Au 0.0000 0.0000 0.7299

The energy is -118.680 eV per cell.